Entry 1:
A geometry-optimized BeFe2Cl structure, computed with GGA-PBE.

Cell: 5.762 5.762 5.762 Å, 90.00 90.00 90.00°
Space group Fm-3m (No. 225)
Unique sites:
Be  0.000  0.000  0.000 [4 per cell]
Fe  0.250  0.250  0.250 [8 per cell]
Cl  0.000  0.000  0.500 [4 per cell]

Excess energy over the best structure of this formula in the dataset: 582.3 meV per atom
Uncorrected formation energy: 257 kJ/mol of formula units
Spin magnetization: 4.54 μB/f.u.

=====

Entry 2:
A geometry-optimized NpTc2Os structure, computed with GGA-PBE.

Cell: 4.013 4.013 3.997 Å, 90.00 90.00 90.00°
Space group P4/mmm (No. 123)
Unique sites:
Np  0.000  0.000  0.000 [1 per cell]
Tc  0.000  0.500  0.500 [2 per cell]
Os  0.500  0.500  0.000 [1 per cell]

Excess energy over the best structure of this formula in the dataset: 0.0 meV per atom
Energy of formation: 0.11 eV per atom
Spin magnetization: 0.01 μB/f.u.

=====

Entry 3:
A geometry-optimized Li2NdAgPd2 structure, computed with GGA-PBE.

Cell: 4.3613 4.3613 6.7039 Å, 90.00 90.00 120.00°
Space group P-3m1 (No. 164)
Unique sites:
Li  0.3333  0.6667  0.1477 [2 per cell]
Nd  0.0000  0.0000  0.5000 [1 per cell]
Ag  0.0000  0.0000  0.0000 [1 per cell]
Pd  0.3333  0.6667  0.7544 [2 per cell]

Energy of formation: -0.46 eV per atom
Spin magnetization: 0.00 μB/f.u.

=====

Entry 4:
A geometry-optimized La6Tl2Ni structure, computed with GGA-PBE.

Cell: 9.662 10.589 5.646 Å, 90.00 90.00 90.00°
Space group Pnnm (No. 58)
Unique sites:
La  0.009  0.208  0.000 [4 per cell]
La  0.138  0.429  0.500 [4 per cell]
La  0.238  0.064  0.500 [4 per cell]
Tl  0.160  0.757  0.500 [4 per cell]
Ni  0.000  0.500  0.000 [2 per cell]

Excess energy over the best structure of this formula in the dataset: 49.9 meV per atom
Energy of formation: -0.24 eV per atom
Spin magnetization: 0.00 μB/f.u.

=====

Entry 5:
A geometry-optimized SmBeCu11 structure, computed with GGA-PBE.

Cell: 4.776 11.848 6.440 Å, 90.00 110.02 90.00°
Space group C2/m (No. 12)
Unique sites:
Sm  0.000  0.000  0.000 [2 per cell]
Be  0.000  0.500  0.500 [2 per cell]
Cu  0.000  0.000  0.500 [2 per cell]
Cu  0.103  0.390  0.234 [8 per cell]
Cu  0.171  0.177  0.356 [8 per cell]
Cu  0.250  0.250  0.000 [4 per cell]

Energy of formation: -0.09 eV per atom
Spin magnetization: 0.00 μB/f.u.

=====

Entry 6:
A geometry-optimized CaHfMg14 structure, computed with GGA-PBE.

Cell: 6.5267 6.5267 10.3095 Å, 90.00 90.00 120.00°
Space group P-6m2 (No. 187)
Unique sites:
Ca  0.0000  0.0000  0.0000 [1 per cell]
Hf  0.0000  0.0000  0.5000 [1 per cell]
Mg  0.0002  0.5001  0.5000 [3 per cell]
Mg  0.0090  0.5045  0.0000 [3 per cell]
Mg  0.1664  0.3328  0.2605 [6 per cell]
Mg  0.6667  0.3333  0.2467 [2 per cell]

Excess energy over the best structure of this formula in the dataset: 12.9 meV per atom
Energy of formation: 0.05 eV per atom
Spin magnetization: 0.00 μB/f.u.

=====

Question: Among the records above, which one has the highest spin magnetization?
Answer: BeFe2Cl

=====

Question: What is the spin magnetization in the first record?
Answer: 4.54 μB/f.u.

=====

Question: Which value of spin magnetization does entry 1 give?
Answer: 4.54 μB/f.u.